Material: Np3Si5Pt2
Method: DFT, PBE
State: optimized geometry

The structure in POSCAR format:
```
Np3Si5Pt2
1.0
-4.975 6.507 2.931
4.975 -6.507 2.931
4.975 6.507 -2.931
Np Si Pt
6 10 4
Cartesian
7.116 1.567 0.000
0.000 0.000 1.465
2.141 4.940 0.000
2.834 1.567 2.931
0.000 0.000 4.396
-2.141 4.940 2.931
4.975 3.443 -1.465
3.964 1.705 0.000
4.975 0.000 1.465
3.964 -1.705 2.931
0.000 3.064 1.465
4.975 3.443 1.465
1.011 8.213 0.000
0.000 6.507 1.465
1.011 4.802 2.931
0.000 3.064 4.396
1.609 1.893 0.000
1.609 -1.893 2.931
3.366 8.400 0.000
3.366 4.614 2.931
```

Summary:
The density of states at the Fermi level is 24.1 states/eV/f.u. The value obtained for the formation energy (no corrections) is -2.37 eV per formula unit. For the total energy, the calculation gives -8.039 eV/atom. The total moment is 25.9 Bohr magnetons per cell.